No. 1
18
Lattice="-0.889 -0.368 5.935 8.157 -0.630 3.847 -1.464 8.413 2.966" Properties=species:S:1:pos:R:3 comment="InSi2S6 PBE optimized geometry" e_form_raw_ev_per_atom=-0.448 dft_energy_ev_per_atom=-4.7090 rho_g_cm3=2.72 m_tot_mub_per_atom=0.049 vol_a3_per_fu=221.6 pbc="T T T"
In 0.366 6.392 4.637
In 5.437 1.024 8.110
Si 3.959 6.202 5.923
Si 0.885 2.717 3.728
Si 1.844 1.214 6.824
Si 4.918 4.698 9.019
S 4.719 4.419 6.892
S 2.793 1.992 3.003
S 1.085 2.997 5.855
S 3.010 5.424 9.744
S 5.485 2.817 9.823
S 3.824 0.702 6.254
S 0.318 4.599 2.924
S 1.980 6.714 6.493
S 5.106 7.820 6.701
S -0.582 1.400 2.920
S 0.697 -0.404 6.046
S 6.386 6.016 9.827

No. 2
5
Lattice="5.223 0.000 0.000 0.000 5.223 0.000 0.000 0.000 5.223" Properties=species:S:1:pos:R:3 comment="In3SiS PBE optimized geometry" e_form_raw_ev_per_atom=0.343 dft_energy_ev_per_atom=-3.2101 rho_g_cm3=4.72 m_tot_mub_per_atom=0.000 vol_a3_per_fu=142.5 pbc="T T T"
S 2.611 2.611 2.611
Si 0.000 0.000 0.000
In 0.000 2.611 0.000
In 0.000 0.000 2.611
In 2.611 0.000 0.000

No. 3
7
Lattice="4.933 0.000 0.000 0.000 4.933 0.000 2.467 2.467 6.959" Properties=species:S:1:pos:R:3 comment="InSi4S2 PBE optimized geometry" e_form_raw_ev_per_atom=0.783 dft_energy_ev_per_atom=-3.8859 rho_g_cm3=2.86 m_tot_mub_per_atom=0.000 vol_a3_per_fu=169.4 pbc="T T T"
S 4.933 4.933 5.591
S 2.467 2.467 1.368
Si 4.933 4.933 3.411
Si 2.467 2.467 3.547
Si 0.000 2.467 0.000
Si 2.467 0.000 0.000
In 0.000 0.000 0.000

No. 4
7
Lattice="-4.988 -3.278 2.195 5.526 1.061 2.963 -2.404 5.879 -0.306" Properties=species:S:1:pos:R:3 comment="InSi2S4 PBE optimized geometry" e_form_raw_ev_per_atom=-0.383 dft_energy_ev_per_atom=-4.6820 rho_g_cm3=2.71 m_tot_mub_per_atom=0.000 vol_a3_per_fu=183.2 pbc="T T T"
In 0.269 -1.109 2.579
Si 1.695 2.916 2.618
Si -3.561 0.747 2.234
S -2.066 1.681 0.938
S -3.082 -1.299 2.847
S 1.216 4.961 2.006
S 0.200 1.981 3.914